# NaSmPa, optimized geometry, DFT PBE-GGA
# Total magnetic moment ... 1.3 μB per formula unit
# Polymorph energy (0 for the lowest one) ... 0.00 eV/f.u.
# VASP energy ... -3.78 eV/atom
data_NaSmPa
_symmetry_space_group_name_H-M 'P 1'
_symmetry_Int_Tables_number 1
_symmetry_space_group_name_Hall 'P 1'
_cell_length_a 7.213
_cell_length_b 7.213
_cell_length_c 7.213
_cell_angle_alpha 90.00
_cell_angle_beta 90.00
_cell_angle_gamma 90.00
loop_
_atom_site_label
_atom_site_type_symbol
_atom_site_fract_x
_atom_site_fract_y
_atom_site_fract_z
Na1 Na 0.000 0.000 0.000
Na2 Na 0.000 0.500 0.500
Na3 Na 0.500 0.000 0.500
Na4 Na 0.500 0.500 0.000
Sm1 Sm 0.250 0.250 0.250
Sm2 Sm 0.250 0.750 0.750
Sm3 Sm 0.750 0.250 0.750
Sm4 Sm 0.750 0.750 0.250
Pa1 Pa 0.000 0.000 0.500
Pa2 Pa 0.000 0.500 0.000
Pa3 Pa 0.500 0.000 0.000
Pa4 Pa 0.500 0.500 0.500

***

# SrPrAuSe3, optimized geometry, DFT PBE-GGA
# Total magnetic moment ... 0.0 μB per formula unit
# VASP energy ... -4.80 eV/atom
data_SrPrAuSe3
_symmetry_space_group_name_H-M 'P 1'
_symmetry_Int_Tables_number 1
_symmetry_space_group_name_Hall 'P 1'
_cell_length_a 9.640
_cell_length_b 9.640
_cell_length_c 8.543
_cell_angle_alpha 101.91
_cell_angle_beta 101.91
_cell_angle_gamma 25.00
loop_
_atom_site_label
_atom_site_type_symbol
_atom_site_fract_x
_atom_site_fract_y
_atom_site_fract_z
Sr1 Sr 0.124 0.124 0.079
Sr2 Sr 0.876 0.876 0.921
Pr1 Pr 0.164 0.164 0.597
Pr2 Pr 0.836 0.836 0.403
Au1 Au 0.454 0.454 0.284
Au2 Au 0.546 0.546 0.716
Se1 Se 0.000 0.000 0.500
Se2 Se 0.315 0.315 0.146
Se3 Se 0.327 0.327 0.645
Se4 Se 0.500 0.500 0.000
Se5 Se 0.673 0.673 0.355
Se6 Se 0.685 0.685 0.854